(1)
This record from Alexandria describes a relaxed CsTlHgS2 crystal. The functional is PBE-GGA.

The structure in POSCAR format:
```
CsTlHgS2
1.0
7.6185 0.0000 0.0000
0.0000 5.8930 0.0000
-0.2935 0.0000 8.5563
Cs Tl Hg S
2 2 2 4
Direct
0.0000 0.2244 0.2500
0.0000 0.7756 0.7500
0.5000 0.4644 0.2500
0.5000 0.5356 0.7500
0.5000 0.0000 0.0000
0.5000 0.0000 0.5000
0.2660 0.2295 0.9060
0.2660 0.7705 0.4060
0.7340 0.2295 0.5940
0.7340 0.7705 0.0940
```

## Properties
ΔE_f (raw) (eV per atom): -0.555
Size of the total moment (μB/f.u.): 0.00
Space group: No. 13

(2)
This record from Alexandria describes a relaxed Na12Tl2Ga crystal. The functional is PBE-GGA.

The structure in POSCAR format:
```
Na12Tl2Ga
1.0
6.6488 0.0000 0.0000
0.0000 6.6488 0.0000
0.0000 0.0000 23.3936
Na Tl Ga
24 4 2
Direct
0.0000 0.0000 0.0829
0.0000 0.0000 0.9171
0.0000 0.5000 0.0829
0.0000 0.5000 0.9171
0.0728 0.5728 0.4320
0.0728 0.9272 0.5680
0.2500 0.2500 0.1932
0.2500 0.2500 0.3212
0.2500 0.2500 0.6788
0.2500 0.2500 0.8068
0.4272 0.5728 0.5680
0.4272 0.9272 0.4320
0.5000 0.0000 0.0829
0.5000 0.0000 0.9171
0.5000 0.5000 0.0829
0.5000 0.5000 0.9171
0.5728 0.0728 0.5680
0.5728 0.4272 0.4320
0.7500 0.7500 0.1932
0.7500 0.7500 0.3212
0.7500 0.7500 0.6788
0.7500 0.7500 0.8068
0.9272 0.0728 0.4320
0.9272 0.4272 0.5680
0.2500 0.7500 0.2422
0.2500 0.7500 0.7578
0.7500 0.2500 0.2422
0.7500 0.2500 0.7578
0.2500 0.7500 0.0000
0.7500 0.2500 0.0000
```

## Properties
Size of the total moment (μB/f.u.): 0.00
Space group: No. 125
Calculated formation energy (eV/atom): 0.09

(3)
This record from Alexandria describes a relaxed Fe2AgPt crystal. The functional is PBE-GGA.

The structure in POSCAR format:
```
Fe2AgPt
1.0
2.7773 0.0000 0.0000
-1.3887 2.4052 0.0000
0.0000 0.0000 26.0803
Fe Ag Pt
6 3 3
Direct
0.0000 0.0000 0.0000
0.0000 0.0000 0.2645
0.3333 0.6667 0.6667
0.3333 0.6667 0.9311
0.6667 0.3333 0.3333
0.6667 0.3333 0.5978
0.0000 0.0000 0.5098
0.3333 0.6667 0.1765
0.6667 0.3333 0.8432
0.0000 0.0000 0.7483
0.3333 0.6667 0.4150
0.6667 0.3333 0.0816
```

## Properties
Size of the total moment (μB/f.u.): 5.51
Space group: No. 160
Calculated formation energy (eV/atom): 0.08